A plane-wave DFT calculation with PBE with a Hubbard U was carried out for a relaxed HfP2WO crystal.

Summary:
Crystal system: tetragonal
Distance to the lowest polymorph of the same formula (meV per atom): 0

Cell lengths 4.915, 4.915, 3.742 Å; angles 90.00, 90.00, 90.00 degrees
Element x y z (fractional)
Hf 0.000 0.000 0.000
P 0.000 0.500 0.500
P 0.500 0.000 0.500
W 0.500 0.500 0.500
O 0.500 0.500 0.000